Entry 1:
Below is crystalline Pm3Ho6Th at its relaxed geometry, with properties calculated at the GGA-PBE level.

abc: 13.057 3.528 14.299
angles: 90.00 100.30 90.00
Fractional coordinates of all 20 atoms:
1 Pm 0.076 0.250 0.101
2 Pm 0.373 0.750 0.496
3 Pm 0.422 0.250 0.902
4 Pm 0.578 0.750 0.098
5 Pm 0.627 0.250 0.504
6 Pm 0.924 0.750 0.899
7 Ho 0.119 0.250 0.486
8 Ho 0.191 0.750 0.921
9 Ho 0.220 0.750 0.287
10 Ho 0.270 0.750 0.698
11 Ho 0.344 0.250 0.121
12 Ho 0.498 0.750 0.309
13 Ho 0.502 0.250 0.691
14 Ho 0.656 0.750 0.879
15 Ho 0.730 0.250 0.302
16 Ho 0.780 0.250 0.713
17 Ho 0.809 0.250 0.079
18 Ho 0.881 0.750 0.514
19 Th 0.042 0.250 0.722
20 Th 0.958 0.750 0.278

Properties
DFT total energy in eV per atom: -4.836
Energy relative to the elements in eV per atom: 0.0777
Offset from the most stable computed form in meV per atom: 0
Symmetry: P2_1/m, No. 11
Crystal system: monoclinic
Total moment in μB per formula unit: 0.0

***

Entry 2:
Below is crystalline Nd7Er2Th2 at its relaxed geometry, with properties calculated at the GGA-PBE level.

abc: 8.197 8.197 6.082
angles: 105.73 105.73 89.54
Fractional coordinates of all 11 atoms:
1 Nd 0.000 0.000 0.000
2 Nd 0.040 0.591 0.822
3 Nd 0.409 0.960 0.178
4 Nd 0.432 0.432 0.203
5 Nd 0.568 0.568 0.797
6 Nd 0.591 0.040 0.822
7 Nd 0.960 0.409 0.178
8 Er 0.224 0.224 0.602
9 Er 0.776 0.776 0.398
10 Th 0.213 0.787 0.500
11 Th 0.787 0.213 0.500

Properties
DFT total energy in eV per atom: -5.030
Energy relative to the elements in eV per atom: 0.1824
Offset from the most stable computed form in meV per atom: 10
Symmetry: C2/m, No. 12
Crystal system: monoclinic
Total moment in μB per formula unit: 0.0

***

Entry 3:
Below is crystalline NbVRe at its relaxed geometry, with properties calculated at the GGA-PBE level.

abc: 4.401 4.401 2.767
angles: 90.00 90.00 120.00
Fractional coordinates of all 3 atoms:
1 Nb 0.000 0.000 0.000
2 V 0.667 0.333 0.340
3 Re 0.333 0.667 0.663

Properties
DFT total energy in eV per atom: -10.758
Energy relative to the elements in eV per atom: -0.2124
Offset from the most stable computed form in meV per atom: 34
Symmetry: P3m1, No. 156
Crystal system: trigonal
Total moment in μB per formula unit: 0.0

***

What did the first record say?
Below is crystalline Pm3Ho6Th at its relaxed geometry, with properties calculated at the GGA-PBE level.

abc: 13.057 3.528 14.299
angles: 90.00 100.30 90.00
Fractional coordinates of all 20 atoms:
1 Pm 0.076 0.250 0.101
2 Pm 0.373 0.750 0.496
3 Pm 0.422 0.250 0.902
4 Pm 0.578 0.750 0.098
5 Pm 0.627 0.250 0.504
6 Pm 0.924 0.750 0.899
7 Ho 0.119 0.250 0.486
8 Ho 0.191 0.750 0.921
9 Ho 0.220 0.750 0.287
10 Ho 0.270 0.750 0.698
11 Ho 0.344 0.250 0.121
12 Ho 0.498 0.750 0.309
13 Ho 0.502 0.250 0.691
14 Ho 0.656 0.750 0.879
15 Ho 0.730 0.250 0.302
16 Ho 0.780 0.250 0.713
17 Ho 0.809 0.250 0.079
18 Ho 0.881 0.750 0.514
19 Th 0.042 0.250 0.722
20 Th 0.958 0.750 0.278

Properties
DFT total energy in eV per atom: -4.836
Energy relative to the elements in eV per atom: 0.0777
Offset from the most stable computed form in meV per atom: 0
Symmetry: P2_1/m, No. 11
Crystal system: monoclinic
Total moment in μB per formula unit: 0.0